# CsBiBI2, optimized geometry, DFT PBE-GGA
# Energy relative to the elements, uncorrected: 1.215 eV per atom
# Energy: -1.69 eV/atom
# Magnetization: 3.00 μB/cell
# SG: P4/mmm, No. 123
data_CsBiBI2
_symmetry_space_group_name_H-M 'P 1'
_symmetry_Int_Tables_number 1
_symmetry_space_group_name_Hall 'P 1'
_cell_length_a 7.039
_cell_length_b 5.842
_cell_length_c 7.039
_cell_angle_alpha 90.00
_cell_angle_beta 90.00
_cell_angle_gamma 90.00
loop_
_atom_site_label
_atom_site_fract_x
_atom_site_fract_y
_atom_site_fract_z
Cs1 0.000 0.000 0.000
I1 0.000 0.000 0.500
I2 0.500 0.000 0.000
B1 0.000 0.500 0.000
Bi1 0.500 0.500 0.500

***

# CsIn2BiB, optimized geometry, DFT PBE-GGA
# Energy: -2.83 eV/atom
# Magnetization: 0.00 μB/cell
# SG: P4/mmm, No. 123
# DFT formation energy: 52.4 kJ per mole of atoms
data_CsIn2BiB
_symmetry_space_group_name_H-M 'P 1'
_symmetry_Int_Tables_number 1
_symmetry_space_group_name_Hall 'P 1'
_cell_length_a 5.277
_cell_length_b 5.485
_cell_length_c 5.277
_cell_angle_alpha 90.00
_cell_angle_beta 90.00
_cell_angle_gamma 90.00
loop_
_atom_site_label
_atom_site_fract_x
_atom_site_fract_y
_atom_site_fract_z
Cs1 0.500 0.500 0.500
B1 0.000 0.000 0.000
Bi1 0.000 0.500 0.000
In1 0.000 0.000 0.500
In2 0.500 0.000 0.000

***

# CsMn2BiB, optimized geometry, DFT PBE-GGA
# Energy: -3.08 eV/atom
# Magnetization: 9.10 μB/cell
# SG: P4/mmm, No. 123
# DFT formation energy: 276.6 kJ per mole of atoms
data_CsMn2BiB
_symmetry_space_group_name_H-M 'P 1'
_symmetry_Int_Tables_number 1
_symmetry_space_group_name_Hall 'P 1'
_cell_length_a 5.682
_cell_length_b 6.284
_cell_length_c 5.682
_cell_angle_alpha 90.00
_cell_angle_beta 90.00
_cell_angle_gamma 90.00
loop_
_atom_site_label
_atom_site_fract_x
_atom_site_fract_y
_atom_site_fract_z
Cs1 0.000 0.000 0.000
B1 0.500 0.500 0.500
Mn1 0.000 0.000 0.500
Mn2 0.500 0.000 0.000
Bi1 0.000 0.500 0.000

***

# CsNi2BiB, optimized geometry, DFT PBE-GGA
# Energy: -3.64 eV/atom
# Magnetization: 0.84 μB/cell
# SG: P4/mmm, No. 123
# DFT formation energy: 92.1 kJ per mole of atoms
data_CsNi2BiB
_symmetry_space_group_name_H-M 'P 1'
_symmetry_Int_Tables_number 1
_symmetry_space_group_name_Hall 'P 1'
_cell_length_a 4.490
_cell_length_b 4.921
_cell_length_c 4.490
_cell_angle_alpha 90.00
_cell_angle_beta 90.00
_cell_angle_gamma 90.00
loop_
_atom_site_label
_atom_site_fract_x
_atom_site_fract_y
_atom_site_fract_z
Cs1 0.500 0.500 0.500
Ni1 0.000 0.000 0.500
Ni2 0.500 0.000 0.000
B1 0.000 0.000 0.000
Bi1 0.000 0.500 0.000

***

# CsBiBO4, optimized geometry, DFT PBE-GGA
# Energy relative to the elements, uncorrected: -1.644 eV per atom
# Energy: -6.11 eV/atom
# Magnetization: 0.00 μB/cell
# SG: P2_1/m, No. 11
data_CsBiBO4
_symmetry_space_group_name_H-M 'P 1'
_symmetry_Int_Tables_number 1
_symmetry_space_group_name_Hall 'P 1'
_cell_length_a 5.277
_cell_length_b 5.518
_cell_length_c 9.018
_cell_angle_alpha 90.00
_cell_angle_beta 120.30
_cell_angle_gamma 90.00
loop_
_atom_site_label
_atom_site_fract_x
_atom_site_fract_y
_atom_site_fract_z
Cs1 0.664 0.750 0.909
Cs2 0.336 0.250 0.091
Bi1 0.761 0.750 0.475
Bi2 0.239 0.250 0.525
B1 0.168 0.750 0.352
B2 0.832 0.250 0.648
O1 0.033 0.464 0.682
O2 0.967 0.964 0.318
O3 0.967 0.536 0.318
O4 0.033 0.036 0.682
O5 0.305 0.750 0.245
O6 0.695 0.250 0.755
O7 0.401 0.750 0.538
O8 0.599 0.250 0.462

***

# Cs3BiB2S6, optimized geometry, DFT PBE-GGA
# Energy relative to the elements, uncorrected: -0.740 eV per atom
# Energy: -4.45 eV/atom
# Magnetization: 0.00 μB/cell
# SG: P-3m1, No. 164
data_Cs3BiB2S6
_symmetry_space_group_name_H-M 'P 1'
_symmetry_Int_Tables_number 1
_symmetry_space_group_name_Hall 'P 1'
_cell_length_a 7.016
_cell_length_b 7.016
_cell_length_c 9.263
_cell_angle_alpha 90.00
_cell_angle_beta 90.00
_cell_angle_gamma 120.00
loop_
_atom_site_label
_atom_site_fract_x
_atom_site_fract_y
_atom_site_fract_z
Cs1 0.333 0.667 0.687
Cs2 0.667 0.333 0.313
Cs3 0.000 0.000 0.000
Bi1 0.000 0.000 0.500
B1 0.667 0.333 0.685
B2 0.333 0.667 0.315
S1 0.635 0.818 0.301
S2 0.182 0.365 0.301
S3 0.182 0.818 0.301
S4 0.818 0.635 0.699
S5 0.365 0.182 0.699
S6 0.818 0.182 0.699